6
Lattice="4.026 0.000 0.000 0.000 3.471 0.000 -0.049 0.000 8.285" Properties=species:S:1:pos:R:3 comment="BeSiSb (PBE, relaxed)" space_group="Pm (6)" formation_energy_uncorrected_mev_per_atom=300 volume_a3_per_atom=19.3 energy_ev_per_cell=-24.7 pbc="T T T"
Be 0.000 0.000 0.000
Be 1.302 1.735 0.258
Si 1.352 0.000 2.011
Si 3.255 1.735 1.415
Sb 0.158 1.735 3.865
Sb 1.963 0.000 6.754